(1)
{"formula": "TlAgSn", "functional": "PBE-GGA", "state": "optimized geometry", "cell": [[9.105, -0.589, 0.695], [0.267, 3.329, 0.447], [-2.279, -1.982, 4.548]], "species": ["Tl", "Tl", "Sn", "Sn", "Ag", "Ag"], "frac_coords": [[0.964, 0.040, 0.693], [0.164, 0.413, 0.346], [0.375, 0.746, 0.027], [0.753, 0.707, 0.011], [0.645, 0.404, 0.385], [0.483, 0.049, 0.654]], "space_group": "P-1, No. 2", "total_magnetization_mub_per_fu": 0.000, "delta_e_f_mev_per_atom": 52, "dft_energy_ev_per_atom": -3.021, "e_above_lowest_polymorph_mev_per_atom": 21, "n_ef_per_ev_atom": 0.46}

=====

(2)
{"formula": "AcRh3Pb3", "functional": "PBE-GGA", "state": "optimized geometry", "cell": [[8.667, 0.000, 0.000], [4.333, 7.506, 0.000], [4.334, 2.502, 5.383]], "species": ["Ac", "Ac", "Rh", "Rh", "Rh", "Rh", "Rh", "Rh", "Pb", "Pb", "Pb", "Pb", "Pb", "Pb"], "frac_coords": [[0.331, 0.331, 0.006], [0.669, 0.669, 0.994], [0.285, 0.599, 0.162], [0.955, 0.285, 0.162], [0.599, 0.955, 0.162], [0.401, 0.045, 0.838], [0.045, 0.715, 0.838], [0.715, 0.401, 0.838], [0.367, 0.839, 0.667], [0.839, 0.128, 0.667], [0.128, 0.367, 0.667], [0.872, 0.633, 0.333], [0.161, 0.872, 0.333], [0.633, 0.161, 0.333]], "space_group": "R-3, No. 148", "total_magnetization_mub_per_fu": 0.000, "delta_e_f_mev_per_atom": -189, "dft_energy_ev_per_atom": -5.515, "e_above_lowest_polymorph_mev_per_atom": 98, "n_ef_per_ev_atom": 0.70}

=====

(3)
{"formula": "Tm2CdPd4", "functional": "PBE-GGA", "state": "optimized geometry", "cell": [[4.520, -0.130, 0.902], [1.923, 4.093, 0.902], [-0.778, -0.479, 7.429]], "species": ["Tm", "Tm", "Cd", "Pd", "Pd", "Pd", "Pd"], "frac_coords": [[0.714, 0.714, 0.716], [0.286, 0.286, 0.284], [0.000, 0.000, 0.000], [0.906, 0.906, 0.364], [0.094, 0.094, 0.636], [0.643, 0.643, 0.117], [0.357, 0.357, 0.883]], "space_group": "C2/m, No. 12", "total_magnetization_mub_per_fu": 0.000, "delta_e_f_mev_per_atom": -667, "dft_energy_ev_per_atom": -5.043, "e_above_lowest_polymorph_mev_per_atom": 142, "n_ef_per_ev_atom": 0.47}

=====

(4)
{"formula": "NaNdBi", "functional": "PBE-GGA", "state": "optimized geometry", "cell": [[4.215, 0.000, 0.000], [0.000, 5.011, 0.000], [0.000, -2.505, 4.339]], "species": ["Na", "Nd", "Bi"], "frac_coords": [[0.862, 0.000, 0.000], [0.337, 0.333, 0.667], [0.801, 0.667, 0.333]], "space_group": "P3m1, No. 156", "total_magnetization_mub_per_fu": 0.818, "delta_e_f_mev_per_atom": -338, "dft_energy_ev_per_atom": -3.661, "n_ef_per_ev_atom": 0.38}

=====

(5)
{"formula": "BeC", "functional": "PBE-GGA", "state": "optimized geometry", "cell": [[-1.831, 1.760, 0.759], [-1.607, -3.352, 3.900], [3.206, 1.042, 2.217]], "species": ["Be", "Be", "Be", "Be", "C", "C", "C", "C"], "frac_coords": [[0.500, 0.195, 0.500], [0.500, 0.805, 0.500], [0.500, 0.695, 0.000], [0.500, 0.305, 0.000], [0.284, 0.000, 0.117], [0.716, 0.000, 0.883], [0.284, 0.500, 0.617], [0.716, 0.500, 0.383]], "space_group": "C2/m, No. 12", "total_magnetization_mub_per_fu": 0.000, "delta_e_f_mev_per_atom": 407, "dft_energy_ev_per_atom": -6.068, "e_above_lowest_polymorph_mev_per_atom": 88, "n_ef_per_ev_atom": 0.16}

=====

(6)
{"formula": "Ho12Tl6Ru", "functional": "PBE-GGA", "state": "optimized geometry", "cell": [[8.283, 0.333, 0.399], [-0.927, 8.238, 0.399], [-0.927, -1.080, 8.177]], "species": ["Ho", "Ho", "Ho", "Ho", "Ho", "Ho", "Ho", "Ho", "Ho", "Ho", "Ho", "Ho", "Tl", "Tl", "Tl", "Tl", "Tl", "Tl", "Ru"], "frac_coords": [[0.794, 0.575, 0.455], [0.455, 0.794, 0.575], [0.575, 0.455, 0.794], [0.206, 0.425, 0.545], [0.545, 0.206, 0.425], [0.425, 0.545, 0.206], [0.970, 0.088, 0.311], [0.912, 0.689, 0.030], [0.689, 0.030, 0.912], [0.030, 0.912, 0.689], [0.088, 0.311, 0.970], [0.311, 0.970, 0.088], [0.648, 0.866, 0.271], [0.729, 0.352, 0.134], [0.134, 0.729, 0.352], [0.352, 0.134, 0.729], [0.271, 0.648, 0.866], [0.866, 0.271, 0.648], [0.000, 0.000, 0.000]], "space_group": "R-3, No. 148", "total_magnetization_mub_per_fu": 0.000, "delta_e_f_mev_per_atom": -149, "dft_energy_ev_per_atom": -4.276, "n_ef_per_ev_atom": 0.88}

=====

(7)
{"formula": "La3ZrTl", "functional": "PBE-GGA", "state": "optimized geometry", "cell": [[5.955, 0.000, 0.000], [0.000, 5.955, 0.000], [0.000, 0.000, 5.955]], "species": ["Tl", "Zr", "La", "La", "La"], "frac_coords": [[0.000, 0.000, 0.000], [0.500, 0.500, 0.500], [0.000, 0.500, 0.000], [0.000, 0.000, 0.500], [0.500, 0.000, 0.000]], "space_group": "Pm-3m, No. 221", "total_magnetization_mub_per_fu": 0.001, "delta_e_f_mev_per_atom": 771, "dft_energy_ev_per_atom": -4.369, "e_above_lowest_polymorph_mev_per_atom": 420, "n_ef_per_ev_atom": 2.95}

=====

(8)
{"formula": "Sc2SN", "functional": "PBE-GGA", "state": "optimized geometry", "cell": [[-0.315, 3.275, -0.766], [-3.019, 1.501, 0.210], [-0.022, 3.002, 5.392]], "species": ["Sc", "Sc", "S", "N"], "frac_coords": [[0.266, 0.266, 0.203], [0.734, 0.734, 0.797], [0.500, 0.500, 0.500], [0.000, 0.000, 0.000]], "space_group": "R-3m, No. 166", "total_magnetization_mub_per_fu": 0.000, "dft_energy_ev_per_atom": -8.155, "e_above_lowest_polymorph_mev_per_atom": 0, "n_ef_per_ev_atom": 0.30, "raw_formation_energy_ev_per_atom": -1.876}

=====

(9)
{"formula": "Na2Sr2Os", "functional": "PBE-GGA", "state": "optimized geometry", "cell": [[-4.845, 3.114, 1.919], [0.957, -1.996, 5.653], [0.394, 3.748, 4.516]], "species": ["Sr", "Sr", "Os", "Na", "Na"], "frac_coords": [[0.750, 0.250, 0.500], [0.250, 0.750, 0.500], [0.000, 0.000, 0.000], [0.346, 0.346, 0.307], [0.654, 0.654, 0.693]], "space_group": "I4/mmm, No. 139", "total_magnetization_mub_per_fu": 0.000, "delta_e_f_mev_per_atom": 872, "dft_energy_ev_per_atom": -2.575, "e_above_lowest_polymorph_mev_per_atom": 79, "n_ef_per_ev_atom": 0.07}

=====

(10)
{"formula": "Cl3F2", "functional": "PBE-GGA", "state": "optimized geometry", "cell": [[4.689, -0.938, 0.384], [1.345, 8.356, 0.324], [-0.345, -2.079, 6.735]], "species": ["Cl", "Cl", "Cl", "Cl", "Cl", "Cl", "F", "F", "F", "F"], "frac_coords": [[0.730, 0.679, 0.022], [0.270, 0.321, 0.978], [0.386, 0.412, 0.744], [0.803, 0.938, 0.643], [0.197, 0.062, 0.357], [0.614, 0.588, 0.256], [0.940, 0.116, 0.235], [0.060, 0.884, 0.765], [0.500, 0.500, 0.500], [0.500, 0.000, 0.500]], "space_group": "P-1, No. 2", "total_magnetization_mub_per_fu": 1.012, "dft_energy_ev_per_atom": -2.106, "n_ef_per_ev_atom": 0.81, "raw_formation_energy_ev_per_atom": -0.250}

=====

(11)
{"formula": "FeAg2Sb", "functional": "PBE-GGA", "state": "optimized geometry", "cell": [[4.668, 0.000, 0.000], [2.334, 4.043, 0.000], [2.334, 1.348, 3.812]], "species": ["Ag", "Ag", "Fe", "Sb"], "frac_coords": [[0.000, 0.000, 0.000], [0.250, 0.250, 0.250], [0.500, 0.500, 0.500], [0.750, 0.750, 0.750]], "space_group": "F-43m, No. 216", "total_magnetization_mub_per_fu": 2.483, "dft_energy_ev_per_atom": -4.254, "n_ef_per_ev_atom": 0.80, "raw_formation_energy_ev_per_atom": 0.318}

=====

(12)
{"formula": "LiHo2Os", "functional": "PBE-GGA", "state": "optimized geometry", "cell": [[-1.964, 4.023, 1.924], [-3.401, 2.470, -2.466], [-4.627, -0.039, 1.528]], "species": ["Os", "Ho", "Ho", "Li"], "frac_coords": [[0.000, 0.000, 0.000], [0.250, 0.250, 0.250], [0.750, 0.750, 0.750], [0.500, 0.500, 0.500]], "space_group": "Fm-3m, No. 225", "total_magnetization_mub_per_fu": 0.000, "delta_e_f_mev_per_atom": -256, "dft_energy_ev_per_atom": -5.831, "e_above_lowest_polymorph_mev_per_atom": 0, "n_ef_per_ev_atom": 0.62}